# 1
Pm2Sm8Al | GGA-PBE | relaxed

- ΔH_f (0 K) (eV/f.u.) = 0.39

a b c (Å): 17.7112 5.3899 8.0910
angles (deg): 90.00 111.92 90.00
Space group C2/m (No. 12)
Symmetry-distinct sites (fractional):
Pm 0.1908 0.0000 0.1530 [4 per cell]
Sm 0.0198 0.0000 0.2744 [4 per cell]
Sm 0.0951 0.5000 0.9213 [4 per cell]
Sm 0.1636 0.5000 0.4194 [4 per cell]
Sm 0.1733 0.0000 0.7220 [4 per cell]
Al 0.0000 0.5000 0.5000 [2 per cell]

---

# 2
Ac2Zn4SiAu3 | GGA-PBE | relaxed

- ΔE_f (raw) (meV per atom) = -503

a b c (Å): 4.4775 4.4775 10.8353
angles (deg): 90.00 90.00 90.00
Space group P-4m2 (No. 115)
Symmetry-distinct sites (fractional):
Ac 0.0000 0.5000 0.2446 [2 per cell]
Zn 0.0000 0.0000 0.5000 [1 per cell]
Zn 0.0000 0.5000 0.8761 [2 per cell]
Zn 0.5000 0.5000 0.5000 [1 per cell]
Si 0.5000 0.5000 0.0000 [1 per cell]
Au 0.0000 0.0000 0.0000 [1 per cell]
Au 0.0000 0.5000 0.6352 [2 per cell]

---

# 3
La2Nb2Co | GGA-PBE | relaxed

- ΔH_f (0 K) (eV/f.u.) = 1.57

a b c (Å): 6.5784 6.5784 5.3296
angles (deg): 90.00 90.00 90.00
Space group P4/mbm (No. 127)
Symmetry-distinct sites (fractional):
La 0.1719 0.3281 0.0000 [4 per cell]
Nb 0.1500 0.6500 0.5000 [4 per cell]
Co 0.0000 0.0000 0.5000 [2 per cell]

---

# 4
ZrPaPt2 | GGA-PBE | relaxed

- ΔH_f (0 K) (eV/f.u.) = -3.90
- relative energy among the computed polymorphs (kJ/mol of formula units) = 0

a b c (Å): 5.6908 5.6524 10.9201
angles (deg): 90.00 105.32 90.00
Space group P2/c (No. 13)
Symmetry-distinct sites (fractional):
Zr 0.1938 0.1209 0.1430 [4 per cell]
Pa 0.3069 0.3785 0.8639 [4 per cell]
Pt 0.1736 0.3729 0.5974 [4 per cell]
Pt 0.3222 0.1215 0.4024 [4 per cell]

---

# 5
SrLa2Cl | GGA-PBE | relaxed

- relative energy among the computed polymorphs (kJ/mol of formula units) = 0
- ΔE_f (raw) (meV per atom) = -678

a b c (Å): 3.6605 5.3538 13.7651
angles (deg): 90.00 90.00 90.00
Space group Amm2 (No. 38)
Symmetry-distinct sites (fractional):
Sr 0.0000 0.0000 0.0000 [2 per cell]
La 0.0000 0.0000 0.2822 [2 per cell]
La 0.5000 0.0000 0.6949 [2 per cell]
Cl 0.5000 0.0000 0.4780 [2 per cell]

---

# 6
MnBiPd5 | GGA-PBE | relaxed

- ΔH_f (0 K) (eV/f.u.) = -1.63
- relative energy among the computed polymorphs (kJ/mol of formula units) = 0

a b c (Å): 3.9881 3.9881 7.7718
angles (deg): 90.00 90.00 90.00
Space group P4/mmm (No. 123)
Symmetry-distinct sites (fractional):
Mn 0.0000 0.0000 0.0000 [1 per cell]
Bi 0.5000 0.5000 0.5000 [1 per cell]
Pd 0.0000 0.5000 0.2482 [4 per cell]
Pd 0.5000 0.5000 0.0000 [1 per cell]

---

DOS at the Fermi energy? In order: 29.8; 4.6; 13.8; 19.9; 8.9; 4.0 states/eV per cell.
Theoretical density? In order: 7.045; 10.202; 7.524; 13.968; 4.935; 10.693 Mg/m³.